The following is a DFT calculation (PBE+U) of a geometry-optimized Na3Mg4Mo6O24 structure.

Computed properties:
Fermi-level density of states: 26.038 states/eV/f.u.
crystal system: triclinic
total DFT energy (no corrections): -242.6 eV/cell

Geometry as CIF:
```
data_Na3Mg4Mo6O24
_chemical_formula_sum 'Na3 Mg4 Mo6 O24'
_symmetry_space_group_name_H-M 'P -1'
_symmetry_Int_Tables_number 2
_cell_length_a 7.0934
_cell_length_b 8.8256
_cell_length_c 10.5000
_cell_angle_alpha 107.09
_cell_angle_beta 105.29
_cell_angle_gamma 104.23
loop_
_symmetry_equiv_pos_as_xyz
'x,y,z'
'-x,-y,-z'
loop_
_atom_site_label
_atom_site_fract_x
_atom_site_fract_y
_atom_site_fract_z
Na1 0.0000 0.0000 0.0000
Na2 0.2912 0.7978 0.3022
Mg1 0.0412 0.6973 0.5173
Mg2 0.3734 0.4584 0.0999
Mo1 0.1180 0.5982 0.8348
Mo2 0.2082 0.1626 0.7601
Mo3 0.4009 0.2462 0.3656
O1 0.0193 0.2281 0.6560
O2 0.0748 0.5561 0.6462
O3 0.1202 0.5061 0.1479
O4 0.1559 0.9430 0.6705
O5 0.1773 0.8141 0.9223
O6 0.2076 0.2115 0.9392
O7 0.2485 0.0303 0.2545
O8 0.2539 0.3240 0.4686
O9 0.3309 0.5356 0.9228
O10 0.3517 0.7429 0.5189
O11 0.4311 0.3568 0.2498
O12 0.4614 0.2791 0.7703
```

The following is a DFT calculation (PBE+U) of a geometry-optimized FePdOF2 structure.

Computed properties:
Fermi-level density of states: 1.527 states/eV/f.u.
crystal system: tetragonal
total DFT energy (no corrections): -22.5 eV/cell

Geometry as CIF:
```
data_FePdOF2
_chemical_formula_sum 'Fe1 Pd1 O1 F2'
_symmetry_space_group_name_H-M 'P 4/m m m'
_symmetry_Int_Tables_number 123
_symmetry_space_group_name_Hall '-P 4 2'
_cell_length_a 4.1757
_cell_length_b 4.1757
_cell_length_c 4.0731
_cell_angle_alpha 90.00
_cell_angle_beta 90.00
_cell_angle_gamma 90.00
loop_
_atom_site_label
_atom_site_fract_x
_atom_site_fract_y
_atom_site_fract_z
Fe1 0.0000 0.0000 0.0000
Pd1 0.5000 0.5000 0.5000
O1 0.5000 0.5000 0.0000
F1 0.0000 0.5000 0.5000
```